First-principles (GGA-PBE) data for a relaxed structure of LiGaIBr, as listed in the Alexandria database.

Density of states at the Fermi level = 0.00 states/eV/atom
Formation energy from raw total energies = -0.861 eV per atom
Magnetization = 0.00 Bohr magnetons per cell
Mass density = 3.5 g/cm³

CIF file:
```
data_LiGaIBr
_chemical_formula_sum 'Li2 Ga2 I2 Br2'
_space_group_name_H-M_alt 'P 1'
_space_group_IT_number 1
_space_group_name_Hall 'P 1'
_cell_length_a 7.707
_cell_length_b 4.451
_cell_length_c 8.218
_cell_angle_alpha 90.00
_cell_angle_beta 108.27
_cell_angle_gamma 90.00
loop_
_atom_site_label
_atom_site_type_symbol
_atom_site_fract_x
_atom_site_fract_y
_atom_site_fract_z
Li1 Li 0.000 0.000 0.000
Li2 Li 0.500 0.500 0.000
Ga1 Ga 0.491 0.000 0.475
Ga2 Ga 0.991 0.500 0.475
I1 I 0.214 0.500 0.141
I2 I 0.714 0.000 0.141
Br1 Br 0.392 0.500 0.677
Br2 Br 0.892 0.000 0.677
```

First-principles (GGA-PBE) data for a relaxed structure of Ca5Ac12Hg3, as listed in the Alexandria database.

Density of states at the Fermi level = 1.70 states/eV/atom
Magnetization = 0.00 Bohr magnetons per cell
ΔE_f = 11.53 eV/f.u.
Mass density = 5.5 g/cm³

CIF file:
```
data_Ca5Ac12Hg3
_chemical_formula_sum 'Ca20 Ac48 Hg12'
_space_group_name_H-M_alt 'P 1'
_space_group_IT_number 1
_space_group_name_Hall 'P 1'
_cell_length_a 17.668
_cell_length_b 17.668
_cell_length_c 17.668
_cell_angle_alpha 109.47
_cell_angle_beta 109.47
_cell_angle_gamma 109.47
loop_
_atom_site_label
_atom_site_type_symbol
_atom_site_fract_x
_atom_site_fract_y
_atom_site_fract_z
Ca1 Ca 0.000 0.000 0.000
Ca2 Ca 0.000 0.000 0.500
Ca3 Ca 0.000 0.500 0.000
Ca4 Ca 0.000 0.500 0.500
Ca5 Ca 0.125 0.750 0.875
Ca6 Ca 0.125 0.875 0.250
Ca7 Ca 0.250 0.125 0.875
Ca8 Ca 0.250 0.625 0.375
Ca9 Ca 0.375 0.250 0.625
Ca10 Ca 0.375 0.625 0.750
Ca11 Ca 0.500 0.000 0.000
Ca12 Ca 0.500 0.000 0.500
Ca13 Ca 0.500 0.500 0.000
Ca14 Ca 0.500 0.500 0.500
Ca15 Ca 0.625 0.375 0.250
Ca16 Ca 0.625 0.750 0.375
Ca17 Ca 0.750 0.375 0.625
Ca18 Ca 0.750 0.875 0.125
Ca19 Ca 0.875 0.125 0.750
Ca20 Ca 0.875 0.250 0.125
Ac1 Ac 0.049 0.633 0.396
Ac2 Ac 0.049 0.916 0.653
Ac3 Ac 0.084 0.237 0.133
Ac4 Ac 0.084 0.347 0.951
Ac5 Ac 0.104 0.737 0.653
Ac6 Ac 0.104 0.867 0.451
Ac7 Ac 0.133 0.084 0.237
Ac8 Ac 0.133 0.549 0.896
Ac9 Ac 0.153 0.237 0.604
Ac10 Ac 0.153 0.416 0.549
Ac11 Ac 0.237 0.133 0.084
Ac12 Ac 0.237 0.604 0.153
Ac13 Ac 0.263 0.347 0.896
Ac14 Ac 0.263 0.416 0.367
Ac15 Ac 0.347 0.896 0.263
Ac16 Ac 0.347 0.951 0.084
Ac17 Ac 0.367 0.263 0.416
Ac18 Ac 0.367 0.604 0.951
Ac19 Ac 0.396 0.049 0.633
Ac20 Ac 0.396 0.847 0.763
Ac21 Ac 0.416 0.367 0.263
Ac22 Ac 0.416 0.549 0.153
Ac23 Ac 0.451 0.104 0.867
Ac24 Ac 0.451 0.847 0.584
Ac25 Ac 0.549 0.153 0.416
Ac26 Ac 0.549 0.896 0.133
Ac27 Ac 0.584 0.451 0.847
Ac28 Ac 0.584 0.633 0.737
Ac29 Ac 0.604 0.153 0.237
Ac30 Ac 0.604 0.951 0.367
Ac31 Ac 0.633 0.396 0.049
Ac32 Ac 0.633 0.737 0.584
Ac33 Ac 0.653 0.049 0.916
Ac34 Ac 0.653 0.104 0.737
Ac35 Ac 0.737 0.584 0.633
Ac36 Ac 0.737 0.653 0.104
Ac37 Ac 0.763 0.396 0.847
Ac38 Ac 0.763 0.867 0.916
Ac39 Ac 0.847 0.584 0.451
Ac40 Ac 0.847 0.763 0.396
Ac41 Ac 0.867 0.451 0.104
Ac42 Ac 0.867 0.916 0.763
Ac43 Ac 0.896 0.133 0.549
Ac44 Ac 0.896 0.263 0.347
Ac45 Ac 0.916 0.653 0.049
Ac46 Ac 0.916 0.763 0.867
Ac47 Ac 0.951 0.084 0.347
Ac48 Ac 0.951 0.367 0.604
Hg1 Hg 0.125 0.250 0.375
Hg2 Hg 0.125 0.375 0.750
Hg3 Hg 0.250 0.375 0.125
Hg4 Hg 0.250 0.875 0.625
Hg5 Hg 0.375 0.125 0.250
Hg6 Hg 0.375 0.750 0.125
Hg7 Hg 0.625 0.250 0.875
Hg8 Hg 0.625 0.875 0.750
Hg9 Hg 0.750 0.125 0.375
Hg10 Hg 0.750 0.625 0.875
Hg11 Hg 0.875 0.625 0.250
Hg12 Hg 0.875 0.750 0.625
```

First-principles (GGA-PBE) data for a relaxed structure of CoSb2Pb, as listed in the Alexandria database.

Density of states at the Fermi level = 0.71 states/eV/atom
Formation energy from raw total energies = 0.052 eV per atom
Magnetization = 0.00 Bohr magnetons per cell
Mass density = 8.7 g/cm³

CIF file:
```
data_CoSb2Pb
_chemical_formula_sum 'Co2 Sb4 Pb2'
_space_group_name_H-M_alt 'P 1'
_space_group_IT_number 1
_space_group_name_Hall 'P 1'
_cell_length_a 6.487
_cell_length_b 3.522
_cell_length_c 8.606
_cell_angle_alpha 90.00
_cell_angle_beta 98.60
_cell_angle_gamma 90.00
loop_
_atom_site_label
_atom_site_type_symbol
_atom_site_fract_x
_atom_site_fract_y
_atom_site_fract_z
Co1 Co 0.000 0.000 0.000
Co2 Co 0.500 0.500 0.000
Sb1 Sb 0.207 0.500 0.170
Sb2 Sb 0.293 0.000 0.830
Sb3 Sb 0.707 0.000 0.170
Sb4 Sb 0.793 0.500 0.830
Pb1 Pb 0.000 0.500 0.500
Pb2 Pb 0.500 0.000 0.500
```

First-principles (GGA-PBE) data for a relaxed structure of EuLu3Ni, as listed in the Alexandria database.

Density of states at the Fermi level = 1.28 states/eV/atom
Magnetization = 7.57 Bohr magnetons per cell
ΔE_f = -0.61 eV/f.u.
Mass density = 8.4 g/cm³

CIF file:
```
data_EuLu3Ni
_chemical_formula_sum 'Eu1 Lu3 Ni1'
_space_group_name_H-M_alt 'P 1'
_space_group_IT_number 1
_space_group_name_Hall 'P 1'
_cell_length_a 5.263
_cell_length_b 5.263
_cell_length_c 5.263
_cell_angle_alpha 90.00
_cell_angle_beta 90.00
_cell_angle_gamma 90.00
loop_
_atom_site_label
_atom_site_type_symbol
_atom_site_fract_x
_atom_site_fract_y
_atom_site_fract_z
Eu1 Eu 0.000 0.000 0.000
Lu1 Lu 0.000 0.500 0.500
Lu2 Lu 0.500 0.000 0.500
Lu3 Lu 0.500 0.500 0.000
Ni1 Ni 0.500 0.500 0.500
```